Below is a relaxed structure of KHoCdSe3, with properties calculated at the PBE level.

a b c (Å): 8.7376 4.2417 10.2815
angles (deg): 90.00 107.59 90.00
Positions (direct):
Se 0.7378 0.7500 0.0504
Cd 0.4165 0.7500 0.8879
Cd 0.5835 0.2500 0.1121
Se 0.2622 0.2500 0.9496
Se 0.5962 0.2500 0.3694
Se 0.4038 0.7500 0.6306
Se 0.0361 0.2500 0.3490
K 0.7273 0.2500 0.7472
Se 0.9638 0.7500 0.6510
Ho 0.8232 0.7500 0.3687
Ho 0.1768 0.2500 0.6313
K 0.2727 0.7500 0.2528

Values from the calculation:
raw total energy	-4.17	eV/atom
magnetic moment	0.006	μB/f.u.
space group	No. 11
volume	30.27	A^3/atom
mass density	5.059	Mg/m³